Density functional theory data (PBE with a Hubbard U) for MgV2MoF after structural relaxation.

It has space group P4/mmm (No. 123), with a = 5.549 Å, b = 5.549 Å, c = 3.570 Å, α = 90.00°, β = 90.00° and γ = 90.00°. Symmetry generates all atoms from Mg at (0.000, 0.000, 0.000), V at (0.000, 0.500, 0.000), Mo at (0.500, 0.500, 0.500) and F at (0.000, 0.000, 0.500).

The calculation puts the final energy at -21.61 eV per cell.